1.
A plane-wave DFT calculation with PBE was carried out for an optimized crystal structure of TbZnP.

magnetization = 0.00 μB/cell
electronic total energy = -4.585 eV per atom
calculated formation energy = -0.81 eV per atom

Unit cell a=4.0775 b=4.0775 c=3.8883 alpha=90.00 beta=90.00 gamma=120.00
Space group P-6m2 (No. 187)
Unique sites:
1 Tb 0.0000 0.0000 0.0000 x1
2 Zn 0.6667 0.3333 0.5000 x1
3 P 0.3333 0.6667 0.5000 x1

***

2.
A plane-wave DFT calculation with PBE was carried out for an optimized crystal structure of Tb2ZnP.

magnetization = 0.00 μB/cell
electronic total energy = -4.854 eV per atom
energy above the lowest structure with this stoichiometry = 0 meV/atom
calculated formation energy = -0.87 eV per atom

Unit cell a=3.9777 b=3.9777 c=21.4503 alpha=90.00 beta=90.00 gamma=120.00
Space group R-3m (No. 166, hexagonal axes)
Unique sites:
1 Tb 0.0000 0.0000 0.2397 x6
2 Zn 0.0000 0.0000 0.0000 x3
3 P 0.0000 0.0000 0.5000 x3

***

3.
A plane-wave DFT calculation with PBE was carried out for an optimized crystal structure of Tb5ZrP6.

magnetization = 0.00 μB/cell
electronic total energy = -6.919 eV per atom
calculated formation energy = -1.57 eV per atom

Unit cell a=6.881 b=11.908 c=6.881 alpha=90.00 beta=109.48 gamma=90.00
Space group C2/m (No. 12)
Unique sites:
1 Tb 0.000 0.000 0.000 x2
2 Tb 0.000 0.166 0.500 x4
3 Tb 0.000 0.331 0.000 x4
4 Zr 0.000 0.500 0.500 x2
5 P 0.241 0.500 0.255 x4
6 P 0.243 0.338 0.743 x8

***

4.
A plane-wave DFT calculation with PBE was carried out for an optimized crystal structure of TbZr3P4.

magnetization = 0.00 μB/cell
electronic total energy = -7.884 eV per atom
calculated formation energy = -1.40 eV per atom

Unit cell a=7.631 b=10.773 c=3.801 alpha=90.00 beta=90.00 gamma=90.00
Space group Cmmm (No. 65)
Unique sites:
1 Tb 0.000 0.000 0.000 x2
2 Zr 0.000 0.500 0.000 x2
3 Zr 0.250 0.250 0.500 x4
4 P 0.000 0.255 0.000 x4
5 P 0.240 0.500 0.500 x4

***

5.
A plane-wave DFT calculation with PBE was carried out for an optimized crystal structure of TbZrP2.

magnetization = 0.00 μB/cell
electronic total energy = -7.485 eV per atom
energy above the lowest structure with this stoichiometry = 0 meV/atom
calculated formation energy = -1.49 eV per atom

Unit cell a=6.679 b=3.851 c=6.765 alpha=90.00 beta=109.12 gamma=90.00
Space group C2/m (No. 12)
Unique sites:
1 Tb 0.000 0.000 0.000 x2
2 Zr 0.000 0.500 0.500 x2
3 P 0.245 0.000 0.735 x4

***

6.
A plane-wave DFT calculation with PBE was carried out for an optimized crystal structure of TbZr5P6.

magnetization = 0.00 μB/cell
electronic total energy = -8.027 eV per atom
calculated formation energy = -1.37 eV per atom

Unit cell a=6.559 b=11.340 c=6.571 alpha=90.00 beta=109.48 gamma=90.00
Space group C2/m (No. 12)
Unique sites:
1 Tb 0.000 0.000 0.000 x2
2 Zr 0.000 0.163 0.500 x4
3 Zr 0.000 0.333 0.000 x4
4 Zr 0.000 0.500 0.500 x2
5 P 0.243 0.500 0.251 x4
6 P 0.244 0.329 0.743 x8